Entry 1:
{"formula": "CuAgPb2", "functional": "PBE", "state": "relaxed", "lattice": [[4.3540, -1.7962, 0.0000], [4.3540, 1.7962, 0.0000], [-1.4798, 0.0000, 6.0371]], "species": ["Cu", "Ag", "Pb", "Pb"], "frac_coords": [[0.0000, 0.0000, 0.0000], [0.5000, 0.5000, 0.5000], [0.2584, 0.2584, 0.7696], [0.7416, 0.7416, 0.2304]], "sg": "C2/m (12)", "e_tot_ev_per_atom": -3.352, "formation_energy_ev_per_atom": 0.239, "e_above_lowest_polymorph_ev_per_fu": 0.405}


Entry 2:
{"formula": "CuAgPb2", "functional": "PBE", "state": "relaxed", "lattice": [[-1.6983, 2.4191, 5.6881], [1.6983, -2.4191, 5.6881], [1.6983, 2.4191, -5.6881]], "species": ["Cu", "Ag", "Pb", "Pb"], "frac_coords": [[0.0000, 0.0000, 0.0000], [0.8127, 0.3127, 0.5000], [0.2199, 0.7199, 0.5000], [0.5058, 0.5058, 0.0000]], "sg": "Imm2 (44)", "e_tot_ev_per_atom": -3.398, "formation_energy_ev_per_atom": 0.193, "e_above_lowest_polymorph_ev_per_fu": 0.224}


Entry 3:
{"formula": "Cu2Ag2Pb", "functional": "PBE", "state": "relaxed", "lattice": [[-1.7353, 1.7353, 8.0700], [1.7353, -1.7353, 8.0700], [1.7353, 1.7353, -8.0700]], "species": ["Cu", "Cu", "Ag", "Ag", "Pb"], "frac_coords": [[0.2500, 0.7500, 0.5000], [0.7500, 0.2500, 0.5000], [0.1217, 0.1217, 0.0000], [0.8783, 0.8783, 0.0000], [0.5000, 0.5000, 0.0000]], "sg": "I4/mmm (139)", "e_tot_ev_per_atom": -3.279, "formation_energy_ev_per_atom": 0.241, "e_above_lowest_polymorph_ev_per_fu": 0.375}


Entry 4:
{"formula": "CuAgPb", "functional": "PBE", "state": "relaxed", "lattice": [[0.0000, 3.1877, 3.1877], [3.1877, 0.0000, 3.1877], [3.1877, 3.1877, 0.0000]], "species": ["Cu", "Ag", "Pb"], "frac_coords": [[0.0000, 0.0000, 0.0000], [0.7500, 0.7500, 0.7500], [0.2500, 0.2500, 0.2500]], "sg": "F-43m (216)", "e_tot_ev_per_atom": -3.353, "formation_energy_ev_per_atom": 0.199, "e_above_lowest_polymorph_ev_per_fu": 0.144}


Entry 5:
{"formula": "CuAgPb", "functional": "PBE", "state": "relaxed", "lattice": [[-1.7083, 1.7083, 5.1993], [1.7083, -1.7083, 5.1993], [1.7083, 1.7083, -5.1993]], "species": ["Cu", "Ag", "Pb"], "frac_coords": [[0.0000, 0.0000, 0.0000], [0.3784, 0.3784, 0.0000], [0.6746, 0.6746, 0.0000]], "sg": "I4mm (107)", "e_tot_ev_per_atom": -3.344, "formation_energy_ev_per_atom": 0.208, "e_above_lowest_polymorph_ev_per_fu": 0.171}


Entry 6:
{"formula": "CuAgPb2", "functional": "PBE", "state": "relaxed", "lattice": [[-2.3377, 2.3377, 9.2406], [2.3377, -2.3377, 9.2406], [2.3377, 2.3377, -9.2406]], "species": ["Cu", "Cu", "Ag", "Ag", "Pb", "Pb", "Pb", "Pb"], "frac_coords": [[0.0000, 0.0000, 0.0000], [0.7500, 0.2500, 0.5000], [0.2500, 0.7500, 0.5000], [0.5000, 0.5000, 0.0000], [0.1116, 0.6250, 0.9866], [0.3750, 0.3616, 0.4866], [0.6384, 0.1250, 0.0134], [0.8750, 0.8884, 0.5134]], "sg": "I-42d (122)", "e_tot_ev_per_atom": -3.239, "formation_energy_ev_per_atom": 0.352, "e_above_lowest_polymorph_ev_per_fu": 0.858}


Entry 7:
{"formula": "CuAgPb2", "functional": "PBE", "state": "relaxed", "lattice": [[3.3001, 0.0000, 0.0000], [0.0000, 3.4673, 0.0000], [0.0000, 0.0000, 8.0483]], "species": ["Cu", "Ag", "Pb", "Pb"], "frac_coords": [[0.0000, 0.0000, 0.0000], [0.5000, 0.5000, 0.8413], [0.0000, 0.0000, 0.5849], [0.5000, 0.5000, 0.2278]], "sg": "Pmm2 (25)", "e_tot_ev_per_atom": -3.454, "formation_energy_ev_per_atom": 0.137, "e_above_lowest_polymorph_ev_per_fu": 0.000}


Entry 8:
{"formula": "CuAgPb", "functional": "PBE", "state": "relaxed", "lattice": [[5.6116, -2.1046, 0.0000], [5.6116, 2.1046, 0.0000], [-0.8907, 0.0000, 5.1759]], "species": ["Cu", "Cu", "Ag", "Ag", "Pb", "Pb"], "frac_coords": [[0.2272, 0.2272, 0.3649], [0.7728, 0.7728, 0.6351], [0.4313, 0.4313, 0.7246], [0.5687, 0.5687, 0.2754], [0.1309, 0.1309, 0.8298], [0.8691, 0.8691, 0.1702]], "sg": "C2/m (12)", "e_tot_ev_per_atom": -3.401, "formation_energy_ev_per_atom": 0.151, "e_above_lowest_polymorph_ev_per_fu": 0.000}


Repeat the fifth record exactly.
{"formula": "CuAgPb", "functional": "PBE", "state": "relaxed", "lattice": [[-1.7083, 1.7083, 5.1993], [1.7083, -1.7083, 5.1993], [1.7083, 1.7083, -5.1993]], "species": ["Cu", "Ag", "Pb"], "frac_coords": [[0.0000, 0.0000, 0.0000], [0.3784, 0.3784, 0.0000], [0.6746, 0.6746, 0.0000]], "sg": "I4mm (107)", "e_tot_ev_per_atom": -3.344, "formation_energy_ev_per_atom": 0.208, "e_above_lowest_polymorph_ev_per_fu": 0.171}


What did the sixth record say?
{"formula": "CuAgPb2", "functional": "PBE", "state": "relaxed", "lattice": [[-2.3377, 2.3377, 9.2406], [2.3377, -2.3377, 9.2406], [2.3377, 2.3377, -9.2406]], "species": ["Cu", "Cu", "Ag", "Ag", "Pb", "Pb", "Pb", "Pb"], "frac_coords": [[0.0000, 0.0000, 0.0000], [0.7500, 0.2500, 0.5000], [0.2500, 0.7500, 0.5000], [0.5000, 0.5000, 0.0000], [0.1116, 0.6250, 0.9866], [0.3750, 0.3616, 0.4866], [0.6384, 0.1250, 0.0134], [0.8750, 0.8884, 0.5134]], "sg": "I-42d (122)", "e_tot_ev_per_atom": -3.239, "formation_energy_ev_per_atom": 0.352, "e_above_lowest_polymorph_ev_per_fu": 0.858}